[1]
Here is crystalline SrIr2W at its relaxed geometry from the Alexandria database. Energies are from GGA-PBE.

Values from the calculation:
**Fermi-level density of states**: 0.73 states/eV per atom
**Formation enthalpy at 0 K**: 356.8 meV per atom
**Volume**: 149.1 Å³ per cell

Unit cell a=2.8463 b=4.8817 c=10.7322 alpha=90.00 beta=90.00 gamma=90.00
Last column: nearest neighbours and their distance in Å.
Space group Imm2 (No. 44)
Asymmetric unit:
Sr (0.0000, 0.0000, 0.0000) (multiplicity 2)  4 Ir 2.83, 2 Sr 2.85
Ir (0.0000, 0.0000, 0.5010) (multiplicity 2)  2 W 2.66, 4 Ir 2.77-2.85, 4 Sr 2.83
Ir (0.0000, 0.5000, 0.2224) (multiplicity 2)  4 Ir 2.77-2.85, 4 W 2.92
W (0.0000, 0.5000, 0.7911) (multiplicity 2)  6 Ir 2.66-2.92, 2 W 2.85

=====

[2]
Here is crystalline LiGeB at its relaxed geometry from the Alexandria database. Energies are from GGA-PBE.

Values from the calculation:
**Fermi-level density of states**: 0.34 states/eV per atom
**Formation enthalpy at 0 K**: 206.7 meV per atom
**Volume**: 179.7 Å³ per cell

Unit cell a=5.4382 b=3.0821 c=10.7230 alpha=90.00 beta=90.00 gamma=90.00
Last column: nearest neighbours and their distance in Å.
Space group Pnma (No. 62)
Asymmetric unit:
Li (0.2097, 0.2500, 0.1594) (multiplicity 4)  3 B 2.30-2.40
Ge (0.1942, 0.2500, 0.4135) (multiplicity 4)  3 B 2.18-2.27
B (0.0193, 0.2500, 0.9677) (multiplicity 4)  2 B 1.70

=====

[3]
Here is crystalline ZrScCr2 at its relaxed geometry from the Alexandria database. Energies are from GGA-PBE.

Values from the calculation:
**Fermi-level density of states**: 1.52 states/eV per atom
**Formation enthalpy at 0 K**: 495.7 meV per atom
**Volume**: 134.8 Å³ per cell

Unit cell a=5.8425 b=8.4547 c=2.8964 alpha=90.00 beta=109.63 gamma=90.00
Last column: nearest neighbours and their distance in Å.
Space group C2/m (No. 12)
Asymmetric unit:
Zr (0.0000, 0.0000, 0.0000) (multiplicity 2)  4 Cr 2.70, 2 Zr 2.90, 2 Sc 2.92
Sc (0.0000, 0.5000, 0.0000) (multiplicity 2)  4 Cr 2.70, 2 Sc 2.90, 2 Zr 2.92
Cr (0.2500, 0.2500, 0.5000) (multiplicity 4)  2 Zr 2.70, 2 Sc 2.70, 4 Cr 2.90-2.92

=====

[4]
Here is crystalline Mg4Zn2Ag3 at its relaxed geometry from the Alexandria database. Energies are from GGA-PBE.

Values from the calculation:
**Fermi-level density of states**: 0.28 states/eV per atom
**Formation enthalpy at 0 K**: -137.6 meV per atom
**Volume**: 327.4 Å³ per cell

Unit cell a=8.9966 b=4.3572 c=8.6008 alpha=90.00 beta=103.83 gamma=90.00
Last column: nearest neighbours and their distance in Å.
Space group C2/m (No. 12)
Asymmetric unit:
Mg (0.0176, 0.0000, 0.3332) (multiplicity 4)  6 Ag 2.81-3.00, 3 Zn 2.89-2.90, 3 Mg 2.96-3.09
Mg (0.1603, 0.5000, 0.8910) (multiplicity 4)  4 Ag 2.89-2.98, 4 Zn 2.90-3.04, 4 Mg 3.07-3.09
Zn (0.1857, 0.5000, 0.2339) (multiplicity 4)  5 Ag 2.82-3.16, 7 Mg 2.89-3.04
Ag (0.0000, 0.0000, 0.0000) (multiplicity 2)  8 Mg 2.83-2.98, 4 Zn 3.16
Ag (0.1619, 0.5000, 0.5555) (multiplicity 4)  6 Mg 2.81-3.00, 3 Zn 2.82-2.95, 3 Ag 2.84-2.98